First-principles (PBE+U) data for Ca2VPtO6 after structural relaxation, as listed in Alexandria via LeMat-Bulk.

abc: 5.426 5.426 4.309
angles: 90.00 90.00 90.00
Atoms (fractional coordinates):
Ca: 0.000 0.500 0.000
Ca: 0.500 0.000 0.000
V: 0.000 0.000 0.553
Pt: 0.500 0.500 0.610
O: 0.000 0.000 0.148
O: 0.238 0.238 0.654
O: 0.238 0.762 0.654
O: 0.500 0.500 0.115
O: 0.762 0.238 0.654
O: 0.762 0.762 0.654

Summary:
crystal system = tetragonal
space-group type = No. 99
volume = 126.8 Å³/cell
total DFT energy (no corrections) = -65.99 eV/cell